DFT (PBE+U) results for a geometry-optimized NpNiPb2O6 structure.

Structure (extended XYZ):
```
10
Lattice="0.000 4.124 4.124 4.124 0.000 4.124 4.124 4.124 0.000" Properties=species:S:1:pos:R:3 pbc="T T T"
Np 0.000 0.000 0.000
Ni 4.124 4.124 4.124
Pb 2.062 2.062 2.062
Pb 6.186 6.186 6.186
O 4.124 4.124 2.068
O 4.124 2.068 4.124
O 6.181 4.124 4.124
O 2.068 4.124 4.124
O 4.124 6.181 4.124
O 4.124 4.124 6.181
```

E in eV/f.u.: -70.279
Calculated volume in Å³/f.u.: 140.3
Symmetry: No. 225


DFT (PBE+U) results for a geometry-optimized NpNiPbO6 structure.

Structure (extended XYZ):
```
18
Lattice="5.373 0.000 0.000 -2.687 4.654 0.000 0.000 0.000 10.074" Properties=species:S:1:pos:R:3 pbc="T T T"
Np 0.000 3.102 2.518
Np 2.687 1.551 7.555
Ni 0.000 3.102 7.555
Ni 2.687 1.551 2.518
Pb 0.000 0.000 0.000
Pb 0.000 0.000 5.037
O -0.935 1.687 1.408
O -1.693 3.001 3.629
O 0.935 1.687 3.629
O -0.759 4.620 1.408
O 1.928 0.034 6.445
O 0.993 1.653 8.666
O 1.693 3.001 1.408
O 0.759 4.620 3.629
O 3.446 0.034 8.666
O 1.752 2.967 6.445
O 4.380 1.653 6.445
O 3.621 2.967 8.666
```

E in eV/f.u.: -64.551
Calculated volume in Å³/f.u.: 126.0
Symmetry: No. 163


DFT (PBE+U) results for a geometry-optimized NpNiPdO6 structure.

Structure (extended XYZ):
```
18
Lattice="5.227 0.000 0.000 -2.614 4.527 0.000 0.000 0.000 9.123" Properties=species:S:1:pos:R:3 pbc="T T T"
Np 0.000 3.018 2.281
Np 2.614 1.509 6.842
Ni 0.000 0.000 0.000
Ni 0.000 0.000 4.561
Pd 0.000 3.018 6.842
Pd 2.614 1.509 2.281
O -0.861 1.536 5.730
O -1.714 3.014 7.954
O 0.861 1.536 7.954
O -0.854 4.505 5.730
O 1.760 0.022 1.168
O 0.899 1.513 3.393
O 1.714 3.014 5.730
O 0.854 4.505 7.954
O 3.467 0.022 3.393
O 1.753 2.992 1.168
O 4.328 1.513 1.168
O 3.474 2.992 3.393
```

E in eV/f.u.: -64.125
Calculated volume in Å³/f.u.: 107.9
Symmetry: No. 163


DFT (PBE+U) results for a geometry-optimized NpNi2PdO8 structure.

Structure (extended XYZ):
```
12
Lattice="3.264 -3.411 0.000 3.264 3.411 0.000 0.000 0.000 6.270" Properties=species:S:1:pos:R:3 pbc="T T T"
Np 0.000 0.000 0.000
Ni 3.264 0.000 1.630
Ni 3.264 0.000 4.640
Pd 0.000 0.000 3.135
O 3.264 2.079 1.580
O 3.264 2.079 4.690
O 1.961 0.000 0.000
O 1.965 0.000 3.135
O 4.563 0.000 3.135
O 4.567 0.000 0.000
O 3.264 -2.079 1.580
O 3.264 -2.079 4.690
```

E in eV/f.u.: -78.501
Calculated volume in Å³/f.u.: 139.6
Symmetry: No. 65


DFT (PBE+U) results for a geometry-optimized Pm2NpNiO8 structure.

Structure (extended XYZ):
```
12
Lattice="4.192 0.000 0.000 0.824 5.238 0.000 0.525 1.155 7.439" Properties=species:S:1:pos:R:3 pbc="T T T"
Pm 0.300 0.545 1.727
Pm 5.241 5.847 5.712
Np 2.770 3.196 3.720
Ni 2.508 2.619 0.000
O 1.186 4.386 3.817
O 1.337 3.974 0.287
O 2.288 1.906 5.060
O 2.341 1.974 1.796
O 3.200 4.418 5.643
O 3.253 4.486 2.380
O 4.204 2.419 7.152
O 4.355 2.006 3.622
```

E in eV/f.u.: -94.473
Calculated volume in Å³/f.u.: 163.4
Symmetry: No. 2


DFT (PBE+U) results for a geometry-optimized NpNi2PtO8 structure.

Structure (extended XYZ):
```
12
Lattice="3.259 -3.427 0.000 3.259 3.427 0.000 0.000 0.000 6.276" Properties=species:S:1:pos:R:3 pbc="T T T"
Np 0.000 0.000 0.000
Ni 3.259 0.000 1.631
Ni 3.259 0.000 4.645
Pt 0.000 0.000 3.138
O 3.259 2.083 1.602
O 3.259 2.083 4.674
O 1.949 0.000 3.138
O 1.958 0.000 0.000
O 4.561 0.000 0.000
O 4.570 0.000 3.138
O 3.259 -2.083 1.602
O 3.259 -2.083 4.674
```

E in eV/f.u.: -80.247
Calculated volume in Å³/f.u.: 140.2
Symmetry: No. 65


DFT (PBE+U) results for a geometry-optimized NpNiPtO6 structure.

Structure (extended XYZ):
```
18
Lattice="5.212 0.000 0.000 -2.606 4.514 0.000 0.000 0.000 8.949" Properties=species:S:1:pos:R:3 pbc="T T T"
Np 0.000 3.009 2.237
Np 2.606 1.505 6.712
Ni 0.000 3.009 6.712
Ni 2.606 1.505 2.237
Pt 0.000 0.000 0.000
Pt 0.000 0.000 4.475
O -0.850 1.478 1.122
O -1.751 3.039 3.353
O 1.705 0.003 5.596
O 0.850 1.478 3.353
O 0.855 1.475 7.828
O -0.901 4.511 1.122
O 3.507 0.003 7.828
O 1.751 3.039 1.122
O 1.756 3.036 5.596
O 0.901 4.511 3.353
O 4.357 1.475 5.596
O 3.456 3.036 7.828
```

E in eV/f.u.: -65.249
Calculated volume in Å³/f.u.: 105.3
Symmetry: No. 163


DFT (PBE+U) results for a geometry-optimized Rb3NpNi2O6 structure.

Structure (extended XYZ):
```
12
Lattice="2.841 -4.936 0.000 2.841 4.936 0.000 -1.873 0.000 6.433" Properties=species:S:1:pos:R:3 pbc="T T T"
Rb 0.000 0.000 0.000
Rb 2.841 1.707 0.000
Rb 2.841 -1.707 0.000
Np 1.905 0.000 3.217
Ni 1.905 3.291 3.217
Ni 1.905 -3.291 3.217
O 0.962 1.624 2.114
O 0.042 0.000 4.337
O 0.962 -1.624 2.114
O 2.848 1.624 4.320
O 3.768 0.000 2.096
O 2.848 -1.624 4.320
```

E in eV/f.u.: -70.526
Calculated volume in Å³/f.u.: 180.4
Symmetry: No. 12